Entry from Alexandria: a relaxed structure of NaIOF2 (GGA-PBE).

The uncorrected formation energy comes out at -104.2 kJ per mole of atoms. The value obtained for the distance to the lowest polymorph of the same formula is 0.000 eV/atom. The total energy comes out at -16.968 eV for the cell shown. The theoretical density is 3.4 g/cm3.

a = 4.937 Å, b = 4.937 Å, c = 4.065 Å
α = 90.00°, β = 90.00°, γ = 90.00°
Sites, in units of the cell vectors:
Na 0.000 0.000 0.000
I 0.500 0.500 0.500
O 0.500 0.500 0.000
F 0.000 0.500 0.500
F 0.500 0.000 0.500